Computed, not measured: a relaxed structure of AlO at the PBE-GGA level of DFT.

The structure in POSCAR format:
```
AlO
1.0
0.0000 4.9368 2.2919
1.9198 0.0000 2.2919
1.9198 4.9368 0.0000
Al O
2 2
Cartesian
1.9198 1.2935 2.2919
1.9198 8.5802 2.2919
1.9197 3.2250 2.7158
1.9198 6.6486 2.7158
```

Computed properties:
Electronic total energy in hartree per atom: -0.237
SG: Fmm2, No. 42

Computed, not measured: a relaxed structure of AlO2 at the PBE-GGA level of DFT.

The structure in POSCAR format:
```
AlO2
1.0
10.7337 0.0000 0.0000
0.0000 2.9906 0.0000
0.0000 0.0000 4.6556
Al O
4 8
Cartesian
1.8713 0.7476 0.0319
3.4956 2.2429 2.3597
7.2381 0.7476 2.2959
8.8625 2.2429 4.6237
0.2459 0.7476 0.7467
2.4659 2.2429 3.8816
2.9009 0.7476 1.5538
5.1210 2.2429 3.0746
5.6127 0.7476 1.5811
7.8328 2.2429 3.1018
8.2678 0.7476 0.7740
10.4878 2.2429 3.9089
```

Computed properties:
Electronic total energy in hartree per atom: -0.240
SG: Pnma, No. 62

Computed, not measured: a relaxed structure of AlO at the PBE-GGA level of DFT.

The structure in POSCAR format:
```
AlO
1.0
-1.5308 4.7550 2.5133
1.5308 -4.7550 2.5133
1.5308 4.7550 -2.5133
Al O
3 3
Cartesian
0.0000 0.0000 0.0000
1.5308 3.1169 0.0980
0.0000 1.6381 2.6113
0.0000 0.0000 1.8797
0.0000 2.3851 0.7979
0.0000 7.1250 0.7979
```

Computed properties:
Electronic total energy in hartree per atom: -0.236
SG: Imm2, No. 44

Computed, not measured: a relaxed structure of AlO2 at the PBE-GGA level of DFT.

The structure in POSCAR format:
```
AlO2
1.0
4.0376 0.0000 0.0000
0.0000 4.6067 0.0000
0.0000 0.0000 2.9041
Al O
2 4
Cartesian
0.0000 0.0000 0.0000
2.0188 2.3033 1.4521
0.9447 1.6398 0.0000
1.0741 3.9431 1.4521
2.9634 0.6635 1.4521
3.0929 2.9669 0.0000
```

Computed properties:
Electronic total energy in hartree per atom: -0.248
SG: Pnnm, No. 58

Computed, not measured: a relaxed structure of AlO at the PBE-GGA level of DFT.

The structure in POSCAR format:
```
AlO
1.0
-1.3924 1.4354 5.4110
1.3924 -1.4354 5.4110
1.3924 1.4354 -5.4110
Al O
2 2
Cartesian
0.0000 0.0000 0.0000
0.0000 1.4354 2.9256
1.3924 0.0000 2.9705
0.0000 1.4354 1.0825
```

Computed properties:
Electronic total energy in hartree per atom: -0.236
SG: Imm2, No. 44

Computed, not measured: a relaxed structure of AlO at the PBE-GGA level of DFT.

The structure in POSCAR format:
```
AlO
1.0
1.4840 0.8568 7.2600
-1.4840 0.8568 7.2600
0.0000 -1.7136 7.2600
Al O
2 2
Cartesian
0.0000 0.0000 0.0000
0.0000 0.0000 2.6204
0.0000 0.0000 6.6000
0.0000 0.0000 10.5387
```

Computed properties:
Electronic total energy in hartree per atom: -0.243
SG: R3m, No. 160

Computed, not measured: a relaxed structure of AlO at the PBE-GGA level of DFT.

The structure in POSCAR format:
```
AlO
1.0
1.4665 0.8467 7.0401
-1.4665 0.8467 7.0401
0.0000 -1.6933 7.0401
Al O
2 2
Cartesian
0.0000 0.0000 4.7735
0.0000 0.0000 16.3469
0.0000 0.0000 8.6234
0.0000 0.0000 12.4970
```

Computed properties:
Electronic total energy in hartree per atom: -0.243
SG: R-3m, No. 166

Computed, not measured: a relaxed structure of AlO2 at the PBE-GGA level of DFT.

The structure in POSCAR format:
```
AlO2
1.0
9.3448 0.0000 0.0000
0.0000 2.9165 0.0000
0.0000 0.0000 4.8082
Al O
4 8
Cartesian
1.5202 0.7291 0.2212
3.1522 2.1874 2.6253
6.1926 0.7291 2.1829
7.8246 2.1874 4.5870
0.3009 2.1874 4.0657
2.1277 2.1874 1.1327
2.5448 0.7291 3.5368
4.3715 0.7291 1.6616
4.9734 2.1874 3.1466
6.8001 2.1874 1.2714
7.2172 0.7291 3.6755
9.0439 0.7291 0.7425
```

Computed properties:
Electronic total energy in hartree per atom: -0.247
SG: Pnma, No. 62